DFT (GGA-PBE) results for K2BaIr after structural relaxation.

Cell lengths 3.7479, 3.7479, 39.5111 Å; angles 90.00, 90.00, 120.00 degrees
Space group R-3m (No. 166, hexagonal axes)
Inequivalent atoms, fractional coordinates:
K1 0.0000 0.0000 0.2255
Ba1 0.0000 0.0000 0.0000
Ir1 0.0000 0.0000 0.5000

Calculated values
E_form   0.97 eV/atom
Relative energy among the computed polymorphs   665 meV/atom
Uncorrected energy   -9.1 eV/f.u.